# AgPb3Br8

A geometry-optimized AgPb3Br8 structure (GGA-PBE, Alexandria via LeMat-Bulk). Values from VASP.

The final energy is -2.9820 eV/atom. The space group is C2/m.

Structure (Quantum ESPRESSO input):
```
&SYSTEM
  ibrav = 0, nat = 12, ntyp = 3
/
ATOMIC_SPECIES
Ag 107.87 Ag.upf
Pb 207.20 Pb.upf
Br 79.90 Br.upf
ATOMIC_POSITIONS crystal
Ag 0.000 0.000 0.000
Pb 0.000 0.500 0.500
Pb 0.500 0.000 0.500
Pb 0.500 0.500 0.000
Br 0.227 0.227 0.223
Br 0.236 0.746 0.232
Br 0.241 0.241 0.742
Br 0.254 0.764 0.768
Br 0.746 0.236 0.232
Br 0.759 0.759 0.258
Br 0.764 0.254 0.768
Br 0.773 0.773 0.777
CELL_PARAMETERS angstrom
6.923 -4.420 0.000
6.923 4.420 0.000
-4.519 0.000 7.131
```

=====

# Pr6MgIn

A geometry-optimized Pr6MgIn structure (GGA-PBE, Alexandria via LeMat-Bulk). Values from VASP.

The final energy is -4.2037 eV/atom. The space group is R-3. Its formation enthalpy at 0 K is -77 meV per atom. The calculation puts the energy relative to the lowest polymorph listed for this composition at 0.52 eV per formula unit.

Structure (Quantum ESPRESSO input):
```
&SYSTEM
  ibrav = 0, nat = 8, ntyp = 3
/
ATOMIC_SPECIES
Pr 140.91 Pr.upf
Mg 24.30 Mg.upf
In 114.82 In.upf
ATOMIC_POSITIONS crystal
Pr 0.024 0.755 0.531
Pr 0.245 0.469 0.976
Pr 0.469 0.976 0.245
Pr 0.531 0.024 0.755
Pr 0.755 0.531 0.024
Pr 0.976 0.245 0.469
Mg 0.500 0.500 0.500
In 0.000 0.000 0.000
CELL_PARAMETERS angstrom
4.600 2.656 3.633
-4.600 2.656 3.633
0.000 -5.312 3.633
```

=====

# Pa4Te2AsIr

A geometry-optimized Pa4Te2AsIr structure (GGA-PBE, Alexandria via LeMat-Bulk). Values from VASP.

The final energy is -8.0383 eV/atom. The space group is P2/m.

Structure (Quantum ESPRESSO input):
```
&SYSTEM
  ibrav = 0, nat = 8, ntyp = 4
/
ATOMIC_SPECIES
Pa 231.04 Pa.upf
Te 127.60 Te.upf
As 74.92 As.upf
Ir 192.22 Ir.upf
ATOMIC_POSITIONS crystal
Pa 0.227 0.000 0.208
Pa 0.255 0.500 0.782
Pa 0.745 0.500 0.218
Pa 0.773 0.000 0.792
Te 0.000 0.000 0.500
Te 0.500 0.500 0.500
As 0.500 0.000 0.000
Ir 0.000 0.500 0.000
CELL_PARAMETERS angstrom
7.348 0.000 0.000
0.000 4.054 0.000
-2.304 0.000 7.137
```

=====

# Tl4In15Pb

A geometry-optimized Tl4In15Pb structure (GGA-PBE, Alexandria via LeMat-Bulk). Values from VASP.

The final energy is -2.6672 eV/atom. The space group is P4/mmm. Its formation enthalpy at 0 K is 45 meV per atom.

Structure (Quantum ESPRESSO input):
```
&SYSTEM
  ibrav = 0, nat = 20, ntyp = 3
/
ATOMIC_SPECIES
Tl 204.38 Tl.upf
In 114.82 In.upf
Pb 207.20 Pb.upf
ATOMIC_POSITIONS crystal
Tl 0.000 0.000 0.099
Tl 0.000 0.000 0.299
Tl 0.000 0.000 0.701
Tl 0.000 0.000 0.901
In 0.000 0.500 0.000
In 0.000 0.500 0.200
In 0.000 0.500 0.400
In 0.000 0.500 0.600
In 0.000 0.500 0.800
In 0.500 0.000 0.000
In 0.500 0.000 0.200
In 0.500 0.000 0.400
In 0.500 0.000 0.600
In 0.500 0.000 0.800
In 0.500 0.500 0.100
In 0.500 0.500 0.300
In 0.500 0.500 0.500
In 0.500 0.500 0.700
In 0.500 0.500 0.900
Pb 0.000 0.000 0.500
CELL_PARAMETERS angstrom
4.981 0.000 0.000
0.000 4.981 0.000
0.000 0.000 22.746
```